[1]
## MgPt3 (PBE)

Data for an optimized crystal structure of MgPt3.

The calculation puts the mass density at 15.34 g/cm3. The formation enthalpy at 0 K is -0.204 eV/atom. Its density of states at the Fermi level is 17.4 states/eV/cell.

The space group is Pm-3n (No. 223) and the conventional cell measures 5.0913, 5.0913 and 5.0913 Å, with angles of 90.00, 90.00 and 90.00 degrees. The distinct sites, in fractional coordinates, are Mg at (0.0000, 0.0000, 0.0000) and Pt at (0.0000, 0.2500, 0.5000).

=====

[2]
## Mg3Pt (PBE)

Data for an optimized crystal structure of Mg3Pt.

The calculation puts the mass density at 6.11 g/cm3. The formation enthalpy at 0 K is -0.400 eV/atom. Its density of states at the Fermi level is 2.1 states/eV/cell.

The space group is Pmm2 (No. 25) and the conventional cell measures 3.1142, 4.6697 and 5.0060 Å, with angles of 90.00, 90.00 and 90.00 degrees. The distinct sites, in fractional coordinates, are Mg at (0.0000, 0.0000, 0.0000), Mg at (0.0000, 0.5000, 0.3603), Mg at (0.5000, 0.0000, 0.5265) and Pt at (0.5000, 0.5000, 0.8553).

=====

[3]
## MgPt3 (PBE)

Data for an optimized crystal structure of MgPt3.

The calculation puts the mass density at 16.11 g/cm3. The formation enthalpy at 0 K is -0.540 eV/atom. Its density of states at the Fermi level is 11.8 states/eV/cell.

The space group is Pnma (No. 62) and the conventional cell measures 4.9083, 9.1468 and 5.5996 Å, with angles of 90.00, 90.00 and 90.00 degrees. The distinct sites, in fractional coordinates, are Mg at (0.0902, 0.2500, 0.1041), Pt at (0.0966, 0.2500, 0.6066) and Pt at (0.2464, 0.0000, 0.3658).

=====

[4]
## Mg2Pt (PBE)

Data for an optimized crystal structure of Mg2Pt.

The calculation puts the mass density at 7.32 g/cm3. The formation enthalpy at 0 K is -0.686 eV/atom. Its density of states at the Fermi level is 84.0 states/eV/cell.

The space group is Fd-3m (No. 227, origin choice 2) and the conventional cell measures 12.0917, 12.0917 and 12.0917 Å, with angles of 90.00, 90.00 and 90.00 degrees. The distinct sites, in fractional coordinates, are Mg at (0.0000, 0.0000, 0.0000), Mg at (0.0745, 0.3750, 0.8750) and Pt at (0.0291, 0.0291, 0.2209).

=====

> Which formula does entry 2 have?

Mg3Pt

=====

> Which of these has the lowest formation enthalpy at 0 K?

Mg2Pt